[1]
## La2Ta3Se2O8 (GGA-PBEsol)

Data for La2Ta3Se2O8 after structural relaxation.

abc: 9.9256 11.8801 7.6472
angles: 90.00 90.00 90.00
Fractional positions:
La 0.2091 0.1577 0.0000
La 0.2280 0.1497 0.5000
La 0.2720 0.6497 0.0000
La 0.2909 0.6577 0.5000
La 0.7091 0.3423 0.5000
La 0.7280 0.3503 0.0000
La 0.7720 0.8503 0.5000
La 0.7909 0.8423 0.0000
Ta 0.0000 0.5000 0.2856
Ta 0.0000 0.5000 0.7144
Ta 0.1357 0.9171 0.2499
Ta 0.1357 0.9171 0.7501
Ta 0.3643 0.4171 0.2501
Ta 0.3643 0.4171 0.7499
Ta 0.5000 0.0000 0.2144
Ta 0.5000 0.0000 0.7856
Ta 0.6357 0.5829 0.2501
Ta 0.6357 0.5829 0.7499
Ta 0.8643 0.0829 0.2499
Ta 0.8643 0.0829 0.7501
Se 0.0186 0.3365 0.5000
Se 0.0245 0.3635 0.0000
Se 0.4755 0.8635 0.5000
Se 0.4814 0.8365 0.0000
Se 0.5186 0.1635 0.0000
Se 0.5245 0.1365 0.5000
Se 0.9755 0.6365 0.0000
Se 0.9814 0.6635 0.5000
O 0.0573 0.1013 0.2552
O 0.0573 0.1013 0.7448
O 0.1336 0.9471 0.0000
O 0.1503 0.9497 0.5000
O 0.1974 0.5231 0.2657
O 0.1974 0.5231 0.7343
O 0.2122 0.7751 0.2482
O 0.2122 0.7751 0.7518
O 0.2878 0.2751 0.2518
O 0.2878 0.2751 0.7482
O 0.3026 0.0231 0.2343
O 0.3026 0.0231 0.7657
O 0.3497 0.4497 0.0000
O 0.3664 0.4471 0.5000
O 0.4427 0.6013 0.2448
O 0.4427 0.6013 0.7552
O 0.5573 0.3987 0.2448
O 0.5573 0.3987 0.7552
O 0.6336 0.5529 0.5000
O 0.6503 0.5503 0.0000
O 0.6974 0.9769 0.2343
O 0.6974 0.9769 0.7657
O 0.7122 0.7249 0.2518
O 0.7122 0.7249 0.7482
O 0.7878 0.2249 0.2482
O 0.7878 0.2249 0.7518
O 0.8026 0.4769 0.2657
O 0.8026 0.4769 0.7343
O 0.8497 0.0503 0.5000
O 0.8664 0.0529 0.0000
O 0.9427 0.8987 0.2552
O 0.9427 0.8987 0.7448

Properties
Final energy in eV/atom: -9.323
M_tot in μB per cell: 0.000
Formation energy from raw total energies in eV/f.u.: -41.80

[2]
## BaLaIn (GGA-PBEsol)

Data for BaLaIn after structural relaxation.

abc: 3.9023 3.9023 8.5339
angles: 90.00 90.00 120.00
Fractional positions:
Ba 0.0000 0.0000 0.0000
La 0.6667 0.3333 0.4046
In 0.3333 0.6667 0.6864

Properties
ΔH_f (0 K) in meV per atom: -83.5
Final energy in eV/atom: -3.576
Energy above the most stable polymorph in this dataset in eV/atom: 0.000
M_tot in μB per cell: 0.001

[3]
## MnCuN2F (GGA-PBEsol)

Data for MnCuN2F after structural relaxation.

abc: 3.7002 3.7002 3.8651
angles: 90.00 90.00 90.00
Fractional positions:
Mn 0.0000 0.0000 0.0000
Cu 0.5000 0.5000 0.5000
N 0.0000 0.5000 0.5000
N 0.5000 0.0000 0.5000
F 0.5000 0.5000 0.0000

Properties
Final energy in eV/atom: -5.911
M_tot in μB per cell: 3.150
Formation energy from raw total energies in eV/f.u.: 3.52

[4]
## Hf2ScGa2 (GGA-PBEsol)

Data for Hf2ScGa2 after structural relaxation.

abc: 7.1277 7.1277 3.7186
angles: 90.00 90.00 90.00
Fractional positions:
Hf 0.1744 0.3256 0.0000
Hf 0.3256 0.8256 0.0000
Hf 0.6744 0.1744 0.0000
Hf 0.8256 0.6744 0.0000
Sc 0.0000 0.0000 0.5000
Sc 0.5000 0.5000 0.5000
Ga 0.1247 0.6247 0.5000
Ga 0.3753 0.1247 0.5000
Ga 0.6247 0.8753 0.5000
Ga 0.8753 0.3753 0.5000

Properties
ΔH_f (0 K) in meV per atom: -490.7
Final energy in eV/atom: -7.349
M_tot in μB per cell: 0.002

Repeat the first record exactly.
## La2Ta3Se2O8 (GGA-PBEsol)

Data for La2Ta3Se2O8 after structural relaxation.

abc: 9.9256 11.8801 7.6472
angles: 90.00 90.00 90.00
Fractional positions:
La 0.2091 0.1577 0.0000
La 0.2280 0.1497 0.5000
La 0.2720 0.6497 0.0000
La 0.2909 0.6577 0.5000
La 0.7091 0.3423 0.5000
La 0.7280 0.3503 0.0000
La 0.7720 0.8503 0.5000
La 0.7909 0.8423 0.0000
Ta 0.0000 0.5000 0.2856
Ta 0.0000 0.5000 0.7144
Ta 0.1357 0.9171 0.2499
Ta 0.1357 0.9171 0.7501
Ta 0.3643 0.4171 0.2501
Ta 0.3643 0.4171 0.7499
Ta 0.5000 0.0000 0.2144
Ta 0.5000 0.0000 0.7856
Ta 0.6357 0.5829 0.2501
Ta 0.6357 0.5829 0.7499
Ta 0.8643 0.0829 0.2499
Ta 0.8643 0.0829 0.7501
Se 0.0186 0.3365 0.5000
Se 0.0245 0.3635 0.0000
Se 0.4755 0.8635 0.5000
Se 0.4814 0.8365 0.0000
Se 0.5186 0.1635 0.0000
Se 0.5245 0.1365 0.5000
Se 0.9755 0.6365 0.0000
Se 0.9814 0.6635 0.5000
O 0.0573 0.1013 0.2552
O 0.0573 0.1013 0.7448
O 0.1336 0.9471 0.0000
O 0.1503 0.9497 0.5000
O 0.1974 0.5231 0.2657
O 0.1974 0.5231 0.7343
O 0.2122 0.7751 0.2482
O 0.2122 0.7751 0.7518
O 0.2878 0.2751 0.2518
O 0.2878 0.2751 0.7482
O 0.3026 0.0231 0.2343
O 0.3026 0.0231 0.7657
O 0.3497 0.4497 0.0000
O 0.3664 0.4471 0.5000
O 0.4427 0.6013 0.2448
O 0.4427 0.6013 0.7552
O 0.5573 0.3987 0.2448
O 0.5573 0.3987 0.7552
O 0.6336 0.5529 0.5000
O 0.6503 0.5503 0.0000
O 0.6974 0.9769 0.2343
O 0.6974 0.9769 0.7657
O 0.7122 0.7249 0.2518
O 0.7122 0.7249 0.7482
O 0.7878 0.2249 0.2482
O 0.7878 0.2249 0.7518
O 0.8026 0.4769 0.2657
O 0.8026 0.4769 0.7343
O 0.8497 0.0503 0.5000
O 0.8664 0.0529 0.0000
O 0.9427 0.8987 0.2552
O 0.9427 0.8987 0.7448

Properties
Final energy in eV/atom: -9.323
M_tot in μB per cell: 0.000
Formation energy from raw total energies in eV/f.u.: -41.80